Entry 1:
Below is crystalline Be4TcP at its relaxed geometry, with properties calculated at the PBE level.

The space group is F-43m (No. 216) and the conventional cell measures 6.082, 6.082 and 6.082 Å, with angles of 90.00, 90.00 and 90.00 degrees. The inequivalent atoms are Be at (0.124, 0.124, 0.376), Tc at (0.250, 0.250, 0.750) and P at (0.000, 0.000, 0.000).

For the formation energy, the calculation gives -0.152 eV per atom. Its total magnetization is 0.00 μB per cell. The value obtained for the density of states at the Fermi level is 0.317 states/eV per atom.

---

Entry 2:
Below is crystalline Tb2Dy2Se7 at its relaxed geometry, with properties calculated at the PBE level.

The space group is Cmmm (No. 65) and the conventional cell measures 10.014, 10.324 and 6.282 Å, with angles of 90.00, 90.00 and 90.00 degrees. The inequivalent atoms are Tb at (0.228, 0.000, 0.000), Dy at (0.000, 0.236, 0.500), Se at (0.000, 0.000, 0.254), Se at (0.000, 0.500, 0.500) and Se at (0.250, 0.250, 0.241).

Its total magnetization is 0.00 μB per cell. The value obtained for the density of states at the Fermi level is 0.429 states/eV per atom. The calculation puts the formation energy from raw total energies at -1.4363 eV/atom.

---

Entry 3:
Below is crystalline Sr3Si4Rh4 at its relaxed geometry, with properties calculated at the PBE level.

The space group is P-1 (No. 2) and the conventional cell measures 4.058, 4.442 and 12.671 Å, with angles of 79.96, 80.88 and 89.99 degrees. The inequivalent atoms are Sr at (0.000, 0.000, 0.000), Sr at (0.355, 0.856, 0.289), Si at (0.201, 0.701, 0.598), Si at (0.451, 0.451, 0.097), Rh at (0.100, 0.601, 0.798) and Rh at (0.249, 0.249, 0.503).

Its total magnetization is 0.00 μB per cell. The value obtained for the density of states at the Fermi level is 0.313 states/eV per atom. The calculation puts the formation energy from raw total energies at -0.7726 eV/atom.